Compound: MgIn2Cl
Source: Alexandria via LeMat-Bulk
Functional: PBEsol
Structure: optimized geometry

a = 3.4025 Å, b = 3.4025 Å, c = 9.7422 Å
α = 79.94°, β = 79.94°, γ = 60.00°
Closest atoms and distances in Å follow each position.
Fractional coordinates of all 4 atoms:
Cl (0.0000, 0.0000, 0.0000)  6 In 2.98
In (0.2549, 0.2549, 0.2353)  3 Cl 2.98, 3 Mg 3.20
In (0.7451, 0.7451, 0.7647)  3 Cl 2.98, 3 Mg 3.20
Mg (0.5000, 0.5000, 0.5000)  6 In 3.20, 6 Mg 3.40

## Properties
**Total energy**: -10.84 eV/cell
**Energy relative to the lowest polymorph listed for this composition**: 137 meV per atom
**D(E_F)**: 1.1 states/eV per cell
**Total moment**: 0.000 μB/f.u.
**Formation energy from raw total energies**: -0.287 eV per atom



Compound: MgIn2Cl
Source: Alexandria via LeMat-Bulk
Functional: PBEsol
Structure: optimized geometry

a = 3.2997 Å, b = 5.0949 Å, c = 5.7338 Å
α = 90.00°, β = 90.00°, γ = 90.00°
Closest atoms and distances in Å follow each position.
Fractional coordinates of all 4 atoms:
Cl (0.5000, 0.5000, 0.5000)  2 Mg 2.87
In (0.0000, 0.0000, 0.7505)  2 In 2.86-2.87
In (0.0000, 0.0000, 0.2495)  2 In 2.86-2.87
Mg (0.5000, 0.5000, 0.0000)  2 Cl 2.87

## Properties
**Total energy**: -10.94 eV/cell
**Energy relative to the lowest polymorph listed for this composition**: 113 meV per atom
**D(E_F)**: 1.2 states/eV per cell
**Total moment**: 0.000 μB/f.u.
**Formation energy from raw total energies**: -0.312 eV per atom



Compound: MgIn2Cl
Source: Alexandria via LeMat-Bulk
Functional: PBEsol
Structure: optimized geometry

a = 3.2625 Å, b = 5.7286 Å, c = 6.0956 Å
α = 117.91°, β = 105.52°, γ = 90.00°
Closest atoms and distances in Å follow each position.
Fractional coordinates of all 4 atoms:
Cl (0.2026, 0.6995, 0.4052)  2 Mg 2.46
In (0.9973, 0.9991, 0.9946)  5 In 3.26-3.62, 4 Mg 3.29-3.32, 4 Cl 3.44-3.58
In (0.7768, 0.2734, 0.5537)  2 Mg 3.01, 4 In 3.26-3.30
Mg (0.5233, 0.5280, 0.0466)  2 Cl 2.46

## Properties
**Total energy**: -11.39 eV/cell
**Energy relative to the lowest polymorph listed for this composition**: 0 meV per atom
**D(E_F)**: 1.5 states/eV per cell
**Total moment**: 0.000 μB/f.u.
**Formation energy from raw total energies**: -0.424 eV per atom



Compound: MgInCl
Source: Alexandria via LeMat-Bulk
Functional: PBEsol
Structure: optimized geometry

a = 4.9803 Å, b = 4.9803 Å, c = 4.9803 Å
α = 60.00°, β = 60.00°, γ = 60.00°
Closest atoms and distances in Å follow each position.
Fractional coordinates of all 3 atoms:
Cl (0.0000, 0.0000, 0.0000)  4 Mg 3.05
In (0.5000, 0.5000, 0.5000)  4 Mg 3.05
Mg (0.2500, 0.2500, 0.2500)  4 In 3.05, 4 Cl 3.05

## Properties
**Total energy**: -7.28 eV/cell
**D(E_F)**: 0.7 states/eV per cell
**Total moment**: 0.000 μB/f.u.
**Formation energy from raw total energies**: -0.191 eV per atom